Material: CePm2Hg7
Method: DFT, PBE
State: relaxed

Its relative energy among the computed polymorphs is 61 meV per atom. As for the symmetry: P3m1 (156). The calculation puts the total moment at 0.94 μB per formula unit. Its final energy is -1.987 eV per atom.

Cell lengths 5.143, 5.143, 12.602 Å; angles 90.00, 90.00, 120.00 degrees
Atoms (fractional coordinates):
Ce: 0.000 0.000 0.010
Pm: 0.333 0.667 0.691
Pm: 0.667 0.333 0.353
Hg: 0.667 0.333 0.596
Hg: 0.667 0.333 0.854
Hg: 0.000 0.000 0.751
Hg: 0.000 0.000 0.267
Hg: 0.333 0.667 0.438
Hg: 0.333 0.667 0.947
Hg: 0.667 0.333 0.110